[1]
A relaxed KSn3Pd crystal, computed with GGA-PBE.

Unit cell a=5.721 b=5.721 c=5.721 alpha=90.00 beta=90.00 gamma=90.00
Fractional positions:
K  0.000  0.000  0.000
Sn  0.000  0.500  0.000
Sn  0.000  0.000  0.500
Sn  0.500  0.000  0.000
Pd  0.500  0.500  0.500

Computed properties:
spin magnetization: 0.00 μB/f.u.
uncorrected energy: -2.258 eV per atom
D(E_F): 4.1 states/eV/cell
ΔE_f: 1.40 eV/atom
E above lowest polymorph: 1750 meV per atom

[2]
A relaxed ScIrCl2 crystal, computed with GGA-PBE.

Unit cell a=4.657 b=4.657 c=4.657 alpha=60.00 beta=60.00 gamma=60.00
Last column: magnetic moment on the atom in μB.
Fractional positions:
Sc  0.750  0.750  0.750  -0.01
Ir  0.500  0.500  0.500  0.07
Cl  0.000  0.000  0.000  0.01
Cl  0.250  0.250  0.250  0.00

Computed properties:
formation energy (no corrections): -0.09 eV per atom
spin magnetization: 0.06 μB/f.u.
uncorrected energy: -4.810 eV per atom
D(E_F): 4.6 states/eV/cell
E above lowest polymorph: 839 meV per atom

[3]
A relaxed La2SbCl crystal, computed with GGA-PBE.

Unit cell a=7.786 b=7.786 c=7.786 alpha=148.81 beta=148.79 gamma=44.70
Last column: magnetic moment on the atom in μB.
Fractional positions:
Cl  0.211  0.711  0.500  0.00
La  0.045  0.045  0.000  0.27
La  0.790  0.290  0.500  0.30
Sb  0.455  0.455  0.000  -0.01

Computed properties:
formation energy (no corrections): -1.26 eV per atom
spin magnetization: 1.46 μB/f.u.
uncorrected energy: -5.211 eV per atom
D(E_F): 3.1 states/eV/cell

[4]
A relaxed Li4CrRe3N8 crystal, computed with GGA-PBE.

Unit cell a=5.760 b=6.195 c=5.760 alpha=117.68 beta=120.00 gamma=90.00
Last column: magnetic moment on the atom in μB.
Fractional positions:
Li  0.500  0.000  0.000  0.00
Li  0.500  0.000  0.500  0.00
Li  0.000  0.000  0.000  0.00
Li  0.000  0.000  0.500  0.00
Cr  0.000  0.500  0.000  1.05
Re  0.500  0.500  0.000  -0.14
Re  0.500  0.500  0.500  -0.14
Re  0.000  0.500  0.500  -0.14
N  0.241  0.728  0.988  -0.02
N  0.240  0.728  0.481  -0.02
N  0.254  0.262  0.508  -0.02
N  0.747  0.728  0.988  -0.02
N  0.253  0.272  0.012  -0.02
N  0.746  0.738  0.492  -0.02
N  0.760  0.272  0.519  -0.02
N  0.759  0.272  0.012  -0.02

Computed properties:
formation energy (no corrections): -0.28 eV per atom
spin magnetization: 0.41 μB/f.u.
uncorrected energy: -7.854 eV per atom
D(E_F): 3.7 states/eV/cell

[5]
A relaxed PaHgBr2F6 crystal, computed with GGA-PBE.

Unit cell a=6.496 b=6.497 c=6.501 alpha=59.88 beta=60.06 gamma=89.95
Last column: magnetic moment on the atom in μB.
Fractional positions:
Pa  0.500  0.500  0.000  -0.03
Hg  0.000  0.000  0.000  -0.03
Br  0.250  0.750  0.500  0.37
Br  0.750  0.250  0.500  0.37
F  0.268  0.732  0.000  0.01
F  0.732  0.732  0.000  0.01
F  0.268  0.268  0.464  0.01
F  0.732  0.268  0.000  0.01
F  0.268  0.268  0.000  0.01
F  0.732  0.732  0.536  0.01

Computed properties:
formation energy (no corrections): -2.23 eV per atom
spin magnetization: 1.04 μB/f.u.
uncorrected energy: -4.667 eV per atom
D(E_F): 11.0 states/eV/cell

[6]
A relaxed RbAgCl3 crystal, computed with GGA-PBE.

Unit cell a=12.203 b=12.203 c=4.823 alpha=90.00 beta=90.00 gamma=137.62
Last column: magnetic moment on the atom in μB.
Fractional positions:
Rb  0.144  0.856  0.250  0.00
Rb  0.856  0.144  0.750  0.00
Ag  0.332  0.668  0.250  0.06
Ag  0.668  0.332  0.750  0.06
Cl  0.593  0.934  0.250  0.06
Cl  0.066  0.407  0.250  0.06
Cl  0.934  0.593  0.750  0.06
Cl  0.407  0.066  0.750  0.06
Cl  0.000  0.000  0.000  0.02
Cl  0.000  0.000  0.500  0.02

Computed properties:
formation energy (no corrections): -0.88 eV per atom
spin magnetization: 0.23 μB/f.u.
uncorrected energy: -2.749 eV per atom
D(E_F): 12.6 states/eV/cell

[7]
A relaxed YTc2W crystal, computed with GGA-PBE.

Unit cell a=2.880 b=2.880 c=9.043 alpha=90.00 beta=90.00 gamma=112.00
Fractional positions:
Tc  0.000  0.000  0.022
Tc  0.000  0.000  0.478
W  0.500  0.500  0.250
Y  0.500  0.500  0.750

Computed properties:
spin magnetization: 0.00 μB/f.u.
uncorrected energy: -9.759 eV per atom
D(E_F): 3.7 states/eV/cell
ΔE_f: 0.28 eV/atom

[8]
A relaxed NaThZn crystal, computed with GGA-PBE.

Unit cell a=3.414 b=3.414 c=16.479 alpha=90.00 beta=90.00 gamma=120.00
Fractional positions:
Zn  0.609  0.217  0.000
Zn  0.279  0.559  0.500
Th  0.612  0.225  0.350
Th  0.612  0.225  0.650
Na  0.277  0.554  0.851
Na  0.277  0.554  0.149

Computed properties:
spin magnetization: 0.00 μB/f.u.
uncorrected energy: -3.167 eV per atom
D(E_F): 5.2 states/eV/cell
ΔE_f: 0.17 eV/atom

[9]
A relaxed Rb2VZn crystal, computed with GGA-PBE.

Unit cell a=12.945 b=12.945 c=9.516 alpha=47.14 beta=47.14 gamma=90.00
Last column: magnetic moment on the atom in μB.
Fractional positions:
Zn  0.000  0.000  0.000  0.13
Zn  0.750  0.250  0.500  0.13
Rb  0.788  0.125  0.250  0.02
Rb  0.962  0.625  0.250  0.02
Rb  0.375  0.212  0.750  0.02
Rb  0.875  0.038  0.750  0.02
V  0.500  0.500  0.000  3.16
V  0.250  0.750  0.500  3.16

Computed properties:
spin magnetization: 4.73 μB/f.u.
uncorrected energy: -2.231 eV per atom
D(E_F): 17.2 states/eV/cell
ΔE_f: 0.85 eV/atom

[10]
A relaxed LaAgN2 crystal, computed with GGA-PBE.

Unit cell a=4.364 b=4.364 c=4.364 alpha=60.00 beta=60.00 gamma=60.00
Last column: magnetic moment on the atom in μB.
Fractional positions:
N  0.250  0.250  0.250  0.67
N  0.750  0.750  0.750  0.67
Ag  0.000  0.000  0.000  0.13
La  0.500  0.500  0.500  0.05

Computed properties:
formation energy (no corrections): 0.29 eV per atom
spin magnetization: 2.00 μB/f.u.
uncorrected energy: -5.813 eV per atom
D(E_F): 1.6 states/eV/cell
E above lowest polymorph: 201 meV per atom

[11]
A relaxed TaRu2Pb crystal, computed with GGA-PBE.

Unit cell a=5.357 b=5.357 c=5.357 alpha=140.63 beta=134.53 gamma=61.69
Fractional positions:
Pb  0.745  0.245  0.500
Ru  0.998  0.998  0.000
Ru  0.268  0.768  0.500
Ta  0.488  0.488  0.000

Computed properties:
spin magnetization: 0.00 μB/f.u.
uncorrected energy: -8.312 eV per atom
D(E_F): 2.5 states/eV/cell
ΔE_f: 0.22 eV/atom

[12]
A relaxed CsHfNb2 crystal, computed with GGA-PBE.

Unit cell a=5.026 b=5.026 c=5.026 alpha=60.00 beta=60.00 gamma=60.00
Fractional positions:
Cs  0.000  0.000  0.000
Nb  0.250  0.250  0.250
Nb  0.750  0.750  0.750
Hf  0.500  0.500  0.500

Computed properties:
spin magnetization: 0.00 μB/f.u.
uncorrected energy: -6.197 eV per atom
D(E_F): 6.4 states/eV/cell
ΔE_f: 1.54 eV/atom

[13]
A relaxed LaTbPm3Pr crystal, computed with GGA-PBE.

Unit cell a=5.197 b=8.181 c=10.982 alpha=116.56 beta=90.00 gamma=90.00
Fractional positions:
La  0.750  0.875  0.710
La  0.250  0.125  0.290
Tb  0.250  0.620  0.123
Tb  0.750  0.380  0.877
Pm  0.250  0.623  0.456
Pm  0.750  0.870  0.040
Pm  0.750  0.376  0.207
Pm  0.750  0.377  0.544
Pm  0.250  0.624  0.793
Pm  0.250  0.130  0.960
Pr  0.250  0.128  0.628
Pr  0.750  0.872  0.372

Computed properties:
spin magnetization: 0.00 μB/f.u.
uncorrected energy: -4.747 eV per atom
D(E_F): 18.8 states/eV/cell
ΔE_f: 0.02 eV/atom

[14]
A relaxed SrMn2Cd crystal, computed with GGA-PBE.

Unit cell a=4.585 b=4.588 c=4.537 alpha=90.00 beta=90.00 gamma=90.00
Last column: magnetic moment on the atom in μB.
Fractional positions:
Cd  0.000  0.500  0.500  -0.07
Mn  0.000  0.000  0.000  3.90
Mn  0.500  0.500  0.000  3.90
Sr  0.500  0.000  0.500  -0.07

Computed properties:
spin magnetization: 7.86 μB/f.u.
uncorrected energy: -4.649 eV per atom
D(E_F): 3.7 states/eV/cell
ΔE_f: 0.59 eV/atom

[15]
A relaxed AlHgBi crystal, computed with GGA-PBE.

Unit cell a=4.881 b=4.881 c=4.881 alpha=60.00 beta=60.00 gamma=60.00
Fractional positions:
Al  0.250  0.250  0.250
Bi  0.500  0.500  0.500
Hg  0.000  0.000  0.000

Computed properties:
spin magnetization: 0.00 μB/f.u.
uncorrected energy: -2.545 eV per atom
D(E_F): 0.9 states/eV/cell
ΔE_f: 0.10 eV/atom
E above lowest polymorph: 0 meV per atom

[16]
A relaxed Cs4Tl4Ge crystal, computed with GGA-PBE.

Unit cell a=6.749 b=11.708 c=6.749 alpha=73.25 beta=90.00 gamma=106.75
Fractional positions:
Cs  0.094  0.708  0.386
Cs  0.614  0.708  0.906
Cs  0.386  0.292  0.614
Cs  0.906  0.292  0.094
Tl  0.323  0.087  0.236
Tl  0.764  0.087  0.677
Tl  0.236  0.913  0.764
Tl  0.677  0.913  0.323
Ge  0.000  0.000  0.000

Computed properties:
spin magnetization: 0.00 μB/f.u.
uncorrected energy: -1.960 eV per atom
D(E_F): 7.1 states/eV/cell
ΔE_f: -0.02 eV/atom

[17]
A relaxed Pm2Pr3Tl crystal, computed with GGA-PBE.

Unit cell a=6.315 b=6.326 c=11.863 alpha=84.84 beta=79.62 gamma=60.06
Fractional positions:
Pm  0.000  0.000  0.000
Pm  0.500  0.000  0.500
Pm  0.163  0.673  0.500
Pm  0.837  0.327  0.500
Pr  0.422  0.658  0.755
Pr  0.262  0.000  0.243
Pr  0.578  0.342  0.245
Pr  0.920  0.658  0.245
Pr  0.080  0.342  0.755
Pr  0.738  0.000  0.757
Tl  0.668  0.665  0.000
Tl  0.332  0.335  0.000

Computed properties:
spin magnetization: 0.00 μB/f.u.
uncorrected energy: -4.415 eV per atom
D(E_F): 16.0 states/eV/cell
ΔE_f: -0.05 eV/atom
E above lowest polymorph: 62 meV per atom

[18]
A relaxed Sm5Hg2Os2 crystal, computed with GGA-PBE.

Unit cell a=7.608 b=7.759 c=9.003 alpha=90.00 beta=65.01 gamma=90.00
Fractional positions:
Sm  0.000  0.000  0.000
Sm  0.500  0.500  0.000
Sm  0.442  0.181  0.754
Sm  0.804  0.819  0.754
Sm  0.304  0.681  0.754
Sm  0.942  0.319  0.754
Sm  0.558  0.819  0.246
Sm  0.196  0.181  0.246
Sm  0.696  0.319  0.246
Sm  0.058  0.681  0.246
Hg  0.219  0.000  0.562
Hg  0.719  0.500  0.562
Hg  0.781  0.000  0.438
Hg  0.281  0.500  0.438
Os  0.113  0.383  0.000
Os  0.887  0.617  0.000
Os  0.387  0.883  0.000
Os  0.613  0.117  0.000

Computed properties:
spin magnetization: 0.00 μB/f.u.
uncorrected energy: -5.476 eV per atom
D(E_F): 14.2 states/eV/cell
ΔE_f: -0.29 eV/atom

[19]
A relaxed RuCl3 crystal, computed with GGA-PBE.

Unit cell a=11.950 b=11.950 c=11.950 alpha=14.19 beta=14.19 gamma=14.19
Last column: magnetic moment on the atom in μB.
Fractional positions:
Ru  0.000  0.000  0.000  0.00
Cl  0.500  0.500  0.500  0.30
Cl  0.938  0.938  0.938  0.00
Cl  0.062  0.062  0.062  0.00

Computed properties:
formation energy (no corrections): 0.28 eV per atom
spin magnetization: 0.37 μB/f.u.
uncorrected energy: -3.426 eV per atom
D(E_F): 3.3 states/eV/cell

[20]
A relaxed La4Si2Cl5 crystal, computed with GGA-PBE.

Unit cell a=4.224 b=8.258 c=11.873 alpha=81.18 beta=100.25 gamma=90.00
Fractional positions:
La  0.662  0.538  0.323
La  0.008  0.727  0.015
La  0.338  0.462  0.677
La  0.992  0.273  0.985
Si  0.549  0.465  0.099
Si  0.451  0.535  0.901
Cl  0.132  0.774  0.263
Cl  0.868  0.226  0.737
Cl  0.223  0.336  0.446
Cl  0.500  0.000  0.000
Cl  0.777  0.664  0.554

Computed properties:
formation energy (no corrections): -1.63 eV per atom
spin magnetization: 0.00 μB/f.u.
uncorrected energy: -5.248 eV per atom
D(E_F): 4.4 states/eV/cell

[21]
A relaxed Sr3InO crystal, computed with GGA-PBE.

Unit cell a=8.501 b=3.988 c=10.519 alpha=100.89 beta=86.89 gamma=103.62
Fractional positions:
Sr  0.059  0.684  0.465
Sr  0.356  0.215  0.225
Sr  0.964  0.467  0.121
Sr  0.585  0.699  0.963
Sr  0.610  0.513  0.571
Sr  0.229  0.951  0.825
O  0.418  0.130  0.993
O  0.186  0.646  0.259
In  0.719  0.939  0.313
In  0.889  0.247  0.759

Computed properties:
formation energy (no corrections): -1.19 eV per atom
spin magnetization: 0.00 μB/f.u.
uncorrected energy: -3.735 eV per atom
D(E_F): 9.8 states/eV/cell